1.
A relaxed CeEr2Zn crystal, computed with PBE.

Values from the calculation:
- Polymorph energy (0 for the lowest one): 41.8 kJ/mol of formula units
- Crystal system: trigonal

Unit cell a=3.503 b=3.503 c=10.506 alpha=80.40 beta=80.40 gamma=60.00
Last column: magnetic moment on the atom in μB.
Atoms (fractional coordinates):
Ce (0.500, 0.500, 0.499)  0.87
Zn (0.666, 0.666, 0.001)  0.00
Er (0.261, 0.261, 0.216)  0.05
Er (0.072, 0.072, 0.784)  0.10

2.
A relaxed CeErZn10 crystal, computed with PBE.

Values from the calculation:
- Crystal system: orthorhombic

Unit cell a=4.234 b=5.331 c=9.208 alpha=90.00 beta=90.00 gamma=90.00
Last column: magnetic moment on the atom in μB.
Atoms (fractional coordinates):
Zn (0.500, 0.751, 0.250)  0.00
Er (0.000, 0.500, 0.500)  -0.03
Ce (0.000, 0.000, 0.000)  0.66
Zn (0.500, 0.500, 0.000)  0.00
Zn (0.500, 0.249, 0.750)  0.00
Zn (0.000, 0.500, 0.173)  0.00
Zn (0.500, 0.249, 0.250)  0.00
Zn (0.000, 0.500, 0.827)  0.00
Zn (0.000, 0.000, 0.661)  0.00
Zn (0.500, 0.000, 0.500)  -0.01
Zn (0.000, 0.000, 0.339)  0.00
Zn (0.500, 0.751, 0.750)  0.00

3.
A relaxed CeErZn2 crystal, computed with PBE.

Values from the calculation:
- Crystal system: tetragonal

Unit cell a=3.510 b=3.510 c=7.424 alpha=90.00 beta=90.00 gamma=90.00
Last column: magnetic moment on the atom in μB.
Atoms (fractional coordinates):
Zn (0.000, 0.000, 0.232)  0.01
Ce (0.500, 0.500, 0.500)  0.69
Er (0.500, 0.500, 0.000)  0.00
Zn (0.000, 0.000, 0.768)  0.01

| no. | DFT total energy (eV per cell) |
| --- | --- |
| 1 | -16.4 |
| 2 | -26.3 |
| 3 | -14.1 |